# Pt14RhW

A relaxed structure of Pt14RhW (PBE, Alexandria via LeMat-Bulk).

Geometry as POSCAR:
```
Pt14RhW
1.0
5.6316 0.0000 0.0000
0.0000 5.6316 0.0000
0.0000 0.0000 7.8421
Pt Rh W
14 1 1
Cartesian
0.0000 0.0000 0.0000
0.0000 2.8158 0.0000
0.0000 2.8158 3.9211
1.3975 1.3975 2.0142
1.3975 1.3975 5.8279
1.3975 4.2341 2.0142
1.3975 4.2341 5.8279
2.8158 0.0000 0.0000
2.8158 0.0000 3.9211
2.8158 2.8158 0.0000
4.2341 1.3975 2.0142
4.2341 1.3975 5.8279
4.2341 4.2341 2.0142
4.2341 4.2341 5.8279
2.8158 2.8158 3.9211
0.0000 0.0000 3.9211
```

DFT formation energy, eV/atom: -0.106
D(E_F), states/eV/f.u.: 26.198
Crystal system: tetragonal